1.
This record from Alexandria via LeMat-Bulk describes crystalline Al3AgSe at its relaxed geometry. The functional is GGA-PBE.

It has space group Pm-3m (No. 221), with a = 4.8721 Å, b = 4.8721 Å, c = 4.8721 Å, α = 90.00°, β = 90.00° and γ = 90.00°. The distinct sites, in fractional coordinates, are Al at (0.0000, 0.0000, 0.5000), Ag at (0.0000, 0.0000, 0.0000) and Se at (0.5000, 0.5000, 0.5000).

The formation energy (no corrections) comes out at 1.4 eV/f.u.



2.
This record from Alexandria via LeMat-Bulk describes crystalline NaRu at its relaxed geometry. The functional is GGA-PBE.

It has space group P4_12_12 (No. 92), with a = 5.8779 Å, b = 5.8779 Å, c = 8.0616 Å, α = 90.00°, β = 90.00° and γ = 90.00°. The distinct sites, in fractional coordinates, are Na at (0.0273, 0.1846, 0.3644) and Ru at (0.0793, 0.3314, 0.9212).

Its formation energy is 644.9 meV per atom.



3.
This record from Alexandria via LeMat-Bulk describes crystalline YCuBr2 at its relaxed geometry. The functional is GGA-PBE.

It has space group Imm2 (No. 44), with a = 3.6126 Å, b = 5.1880 Å, c = 12.6972 Å, α = 90.00°, β = 90.00° and γ = 90.00°. The distinct sites, in fractional coordinates, are Y at (0.0000, 0.0000, 0.0000), Cu at (0.0000, 0.5000, 0.3298), Br at (0.0000, 0.0000, 0.4805) and Br at (0.0000, 0.5000, 0.6764).

The formation energy (no corrections) comes out at -2.8 eV/f.u.



4.
This record from Alexandria via LeMat-Bulk describes crystalline AgAs2 at its relaxed geometry. The functional is GGA-PBE.

It has space group Pnma (No. 62), with a = 6.7871 Å, b = 5.3320 Å, c = 7.0133 Å, α = 90.00°, β = 90.00° and γ = 90.00°. The distinct sites, in fractional coordinates, are Ag at (0.0730, 0.2500, 0.0088), As at (0.0642, 0.7500, 0.3582) and As at (0.1834, 0.2500, 0.3830).

Its formation energy is 140.8 meV per atom.